Entry from Alexandria: crystalline TaNb3In at its relaxed geometry (PBE).

The structure in POSCAR format:
```
TaNb3In
1.0
4.9473 0.0000 0.0000
0.0000 4.9473 0.0000
0.0000 0.0000 4.9473
Ta Nb In
1 3 1
Cartesian
0.0000 0.0000 0.0000 Ta
0.0000 2.4737 2.4737 Nb
2.4737 0.0000 2.4737 Nb
2.4737 2.4737 0.0000 Nb
2.4737 2.4737 2.4737 In
```

Computed properties:
The value obtained for the formation energy from the elements is 193.41 kJ/mol of atoms. As for the crystal system: cubic. The final energy comes out at -34.777 eV per cell. For the relative energy among the computed polymorphs, the calculation gives 45.77 kcal/mol of atoms.


Entry from Alexandria: crystalline TaNbIn2 at its relaxed geometry (PBE).

The structure in POSCAR format:
```
TaNbIn2
1.0
0.0000 3.4039 3.4039
3.4039 0.0000 3.4039
3.4039 3.4039 0.0000
Ta Nb In
1 1 2
Cartesian
0.0000 0.0000 0.0000 Ta
3.4039 3.4039 3.4039 Nb
1.7019 1.7019 1.7019 In
5.1058 5.1058 5.1058 In
```

Computed properties:
The value obtained for the formation energy from the elements is 40.02 kJ/mol of atoms. As for the crystal system: cubic. The final energy comes out at -25.740 eV per cell.


Entry from Alexandria: crystalline Ta3Nb4In2 at its relaxed geometry (PBE).

The structure in POSCAR format:
```
Ta3Nb4In2
1.0
7.2092 0.0000 0.0000
-0.0999 7.5087 0.0000
-3.5771 -1.7363 6.4889
Ta Nb In
6 8 4
Cartesian
0.0000 0.0000 0.0000 Ta
-0.0594 0.8377 2.6209 Ta
-1.7298 3.9275 5.9037 Ta
1.7661 2.8862 3.2444 Ta
5.2619 1.8449 0.5851 Ta
3.5915 4.9347 3.8679 Ta
0.8344 2.8287 0.3952 Nb
-1.3554 -0.7806 4.6114 Nb
1.2075 5.6800 2.1604 Nb
0.0721 1.7855 5.2221 Nb
3.4600 3.9869 1.2667 Nb
2.3246 0.0924 4.3285 Nb
4.8875 6.5530 1.8775 Nb
2.6977 2.9436 6.0937 Nb
-0.9933 3.9230 2.6349 In
2.6345 0.7015 1.2601 In
0.8976 5.0709 5.2288 In
4.5255 1.8493 3.8539 In
```

Computed properties:
The value obtained for the formation energy from the elements is 16.75 kJ/mol of atoms. As for the crystal system: triclinic. The final energy comes out at -159.502 eV per cell.


Entry from Alexandria: crystalline Ta6Nb12In at its relaxed geometry (PBE).

The structure in POSCAR format:
```
Ta6Nb12In
1.0
5.6837 3.2815 3.3093
-5.6837 3.2815 3.3093
0.0000 -6.5630 3.3093
Ta Nb In
6 12 1
Cartesian
-2.4595 -1.4200 4.5490 Ta
0.0000 -2.8400 5.3788 Ta
-2.4595 1.4200 5.3788 Ta
2.4595 -1.4200 4.5490 Ta
0.0000 2.8400 4.5490 Ta
2.4595 1.4200 5.3788 Ta
-1.4763 -4.0060 3.3093 Nb
-4.2074 0.7245 3.3093 Nb
0.0000 -1.7210 2.5763 Nb
-1.4904 0.8605 2.5763 Nb
1.4763 -4.0060 3.3093 Nb
-2.7312 3.2815 3.3093 Nb
1.4904 0.8605 2.5763 Nb
-1.4904 -0.8605 7.3515 Nb
4.2074 0.7245 3.3093 Nb
2.7312 3.2815 3.3093 Nb
1.4904 -0.8605 7.3515 Nb
0.0000 1.7210 7.3515 Nb
0.0000 0.0000 4.9639 In
```

Computed properties:
The value obtained for the formation energy from the elements is 25.24 kJ/mol of atoms. As for the crystal system: trigonal. The final energy comes out at -189.722 eV per cell.


Entry from Alexandria: crystalline TaNb12In3 at its relaxed geometry (PBE).

The structure in POSCAR format:
```
TaNb12In3
1.0
5.3167 0.0000 0.0000
0.0000 5.3505 0.0000
0.0000 0.0000 10.6063
Ta Nb In
1 12 3
Cartesian
0.0000 0.0000 0.0000 Ta
0.0000 1.3076 2.6074 Nb
0.0000 1.3076 7.9989 Nb
0.0000 4.0430 2.6074 Nb
0.0000 4.0430 7.9989 Nb
1.2928 2.6753 0.0000 Nb
1.3141 2.6753 5.3032 Nb
2.6583 0.0000 1.2947 Nb
2.6583 0.0000 3.9775 Nb
2.6583 0.0000 6.6288 Nb
2.6583 0.0000 9.3116 Nb
4.0026 2.6753 5.3032 Nb
4.0239 2.6753 0.0000 Nb
0.0000 0.0000 5.3032 In
2.6583 2.6753 2.6502 In
2.6583 2.6753 7.9561 In
```

Computed properties:
The value obtained for the formation energy from the elements is -2.46 kJ/mol of atoms. As for the crystal system: orthorhombic. The final energy comes out at -141.313 eV per cell.


Entry from Alexandria: crystalline TaNb3In at its relaxed geometry (PBE).

The structure in POSCAR format:
```
TaNb3In
1.0
4.9158 0.0000 0.0000
0.0000 4.9158 0.0000
0.0000 0.0000 4.9158
Ta Nb In
1 3 1
Cartesian
0.0000 0.0000 0.0000 Ta
0.0000 0.0000 2.4579 Nb
0.0000 2.4579 0.0000 Nb
2.4579 0.0000 0.0000 Nb
2.4579 2.4579 2.4579 In
```

Computed properties:
The value obtained for the formation energy from the elements is 118.68 kJ/mol of atoms. As for the crystal system: cubic. The final energy comes out at -38.650 eV per cell. For the relative energy among the computed polymorphs, the calculation gives 27.91 kcal/mol of atoms.


Entry from Alexandria: crystalline Ta4Nb5In at its relaxed geometry (PBE).

The structure in POSCAR format:
```
Ta4Nb5In
1.0
3.3708 0.0000 0.0000
0.0000 3.3708 0.0000
0.0000 0.0000 16.3522
Ta Nb In
4 5 1
Cartesian
0.0000 0.0000 1.6092 Ta
0.0000 0.0000 4.8895 Ta
0.0000 0.0000 11.4627 Ta
0.0000 0.0000 14.7429 Ta
1.6854 1.6854 0.0000 Nb
1.6854 1.6854 3.2806 Nb
1.6854 1.6854 6.4194 Nb
1.6854 1.6854 9.9327 Nb
1.6854 1.6854 13.0716 Nb
0.0000 0.0000 8.1761 In
```

Computed properties:
The value obtained for the formation energy from the elements is -0.46 kJ/mol of atoms. As for the crystal system: tetragonal. The final energy comes out at -100.545 eV per cell.


Entry from Alexandria: crystalline Ta3Nb2In at its relaxed geometry (PBE).

The structure in POSCAR format:
```
Ta3Nb2In
1.0
6.8875 -2.3862 0.0000
6.8875 2.3862 0.0000
-6.3917 0.0000 6.8707
Ta Nb In
6 4 2
Cartesian
-0.2151 0.0000 1.4676 Ta
2.6432 0.0000 0.7609 Ta
5.4689 0.0000 0.2509 Ta
1.9144 0.0000 6.6198 Ta
4.7402 0.0000 6.1099 Ta
7.5984 0.0000 5.4032 Ta
-3.3071 0.0000 4.9154 Nb
-0.5997 0.0000 4.4219 Nb
7.9831 0.0000 2.4489 Nb
10.6905 0.0000 1.9553 Nb
2.2144 0.0000 3.7118 In
5.1690 0.0000 3.1589 In
```

Computed properties:
The value obtained for the formation energy from the elements is 3.96 kJ/mol of atoms. As for the crystal system: monoclinic. The final energy comes out at -116.379 eV per cell.


Entry from Alexandria: crystalline TaNb3In at its relaxed geometry (PBE).

The structure in POSCAR format:
```
TaNb3In
1.0
7.2322 -2.3765 0.0000
7.2322 2.3765 0.0000
-1.7798 0.0000 5.5196
Ta Nb In
2 6 2
Cartesian
2.4710 0.0000 1.6945 Ta
10.2136 0.0000 3.8251 Ta
1.5641 0.0000 4.4328 Nb
5.5048 0.0000 0.6136 Nb
4.6454 0.0000 3.3912 Nb
8.0392 0.0000 2.1284 Nb
7.1798 0.0000 4.9060 Nb
11.1205 0.0000 1.0868 Nb
0.0000 0.0000 0.0000 In
-0.8899 0.0000 2.7598 In
```

Computed properties:
The value obtained for the formation energy from the elements is 1.91 kJ/mol of atoms. As for the crystal system: monoclinic. The final energy comes out at -89.402 eV per cell. For the relative energy among the computed polymorphs, the calculation gives 0.00 kcal/mol of atoms.


Entry from Alexandria: crystalline Ta6Nb2In at its relaxed geometry (PBE).

The structure in POSCAR format:
```
Ta6Nb2In
1.0
4.5348 0.0000 0.0000
0.0000 4.5348 0.0000
0.0000 0.0000 8.9542
Ta Nb In
6 2 1
Cartesian
0.0000 0.0000 0.0000 Ta
0.0000 2.2674 1.7071 Ta
0.0000 2.2674 7.2471 Ta
2.2674 0.0000 1.7071 Ta
2.2674 0.0000 7.2471 Ta
2.2674 2.2674 0.0000 Ta
0.0000 0.0000 3.2035 Nb
0.0000 0.0000 5.7507 Nb
2.2674 2.2674 4.4771 In
```

Computed properties:
The value obtained for the formation energy from the elements is 50.53 kJ/mol of atoms. As for the crystal system: tetragonal. The final energy comes out at -89.280 eV per cell.


Entry from Alexandria: crystalline Ta4NbIn at its relaxed geometry (PBE).

The structure in POSCAR format:
```
Ta4NbIn
1.0
5.2855 -1.7673 0.0000
5.2855 1.7673 0.0000
-1.8810 0.0000 6.0579
Ta Nb In
4 1 1
Cartesian
1.1147 0.0000 2.0738 Ta
0.2613 0.0000 4.9772 Ta
8.4286 0.0000 1.0807 Ta
7.5752 0.0000 3.9841 Ta
4.3450 0.0000 3.0289 Nb
5.2855 0.0000 0.0000 In
```

Computed properties:
The value obtained for the formation energy from the elements is 6.03 kJ/mol of atoms. As for the crystal system: monoclinic. The final energy comes out at -59.843 eV per cell.


Entry from Alexandria: crystalline Ta3Nb3In at its relaxed geometry (PBE).

The structure in POSCAR format:
```
Ta3Nb3In
1.0
8.1984 0.0000 0.0000
0.0000 8.1984 0.0000
0.0000 0.0000 8.1984
Ta Nb In
12 12 4
Cartesian
0.2959 3.8033 4.3951 Ta
1.2018 6.9967 2.8975 Ta
1.2761 1.2761 1.2761 Ta
2.8231 6.9223 5.3753 Ta
2.8975 1.2018 6.9967 Ta
3.8033 4.3951 0.2959 Ta
4.3951 0.2959 3.8033 Ta
5.3010 5.3010 5.3010 Ta
5.3753 2.8231 6.9223 Ta
6.9223 5.3753 2.8231 Ta
6.9967 2.8975 1.2018 Ta
7.9026 7.9026 7.9026 Ta
0.5517 2.6526 7.1499 Nb
1.0485 4.6509 1.4466 Nb
1.4466 1.0485 4.6509 Nb
2.6526 7.1499 0.5517 Nb
3.0507 3.5475 5.5459 Nb
3.5475 5.5459 3.0507 Nb
4.6509 1.4466 1.0485 Nb
5.1477 7.6467 6.7518 Nb
5.5459 3.0507 3.5475 Nb
6.7518 5.1477 7.6467 Nb
7.1499 0.5517 2.6526 Nb
7.6467 6.7518 5.1477 Nb
1.2631 5.3624 6.9353 In
2.8361 2.8361 2.8361 In
5.3624 6.9353 1.2631 In
6.9353 1.2631 5.3624 In
```

Computed properties:
The value obtained for the formation energy from the elements is 35.55 kJ/mol of atoms. As for the crystal system: cubic. The final energy comes out at -263.706 eV per cell.


Entry from Alexandria: crystalline TaNb6In2 at its relaxed geometry (PBE).

The structure in POSCAR format:
```
TaNb6In2
1.0
-1.4169 4.4504 6.8902
1.4169 -4.4504 6.8902
1.4169 4.4504 -6.8902
Ta Nb In
1 6 2
Cartesian
0.0000 0.0000 0.0000 Ta
1.4169 2.9882 -4.5153 Nb
1.4169 2.8115 0.0000 Nb
0.0000 1.4622 2.3749 Nb
1.4169 2.9882 4.5153 Nb
0.0000 1.6389 6.8902 Nb
0.0000 1.4622 11.4054 Nb
1.4169 0.0000 4.6920 In
0.0000 4.4504 2.1981 In
```

Computed properties:
The value obtained for the formation energy from the elements is 18.27 kJ/mol of atoms. As for the crystal system: orthorhombic. The final energy comes out at -76.043 eV per cell.


Entry from Alexandria: crystalline TaNb6In3 at its relaxed geometry (PBE).

The structure in POSCAR format:
```
TaNb6In3
1.0
5.0929 -2.6994 0.0000
5.0929 2.6994 0.0000
-2.2822 0.0000 7.1662
Ta Nb In
1 6 3
Cartesian
0.0000 0.0000 0.0000 Ta
3.0044 1.3613 1.3239 Nb
0.6202 0.0000 3.0543 Nb
4.8992 1.3613 5.8423 Nb
3.0044 -1.3613 1.3239 Nb
7.2834 0.0000 4.1120 Nb
4.8992 -1.3613 5.8423 Nb
2.2582 0.0000 5.8301 In
3.9518 0.0000 3.5831 In
5.6454 0.0000 1.3361 In
```

Computed properties:
The value obtained for the formation energy from the elements is 24.80 kJ/mol of atoms. As for the crystal system: monoclinic. The final energy comes out at -77.917 eV per cell.


Entry from Alexandria: crystalline TaNb6In at its relaxed geometry (PBE).

The structure in POSCAR format:
```
TaNb6In
1.0
3.7555 2.1682 3.0695
-3.7555 2.1682 3.0695
0.0000 -4.3365 3.0695
Ta Nb In
1 6 1
Cartesian
0.0000 0.0000 0.0000 Ta
-1.8735 0.0256 2.2841 Nb
0.9146 -1.6353 2.2841 Nb
0.9590 1.6097 2.2841 Nb
-0.9590 -1.6097 6.9245 Nb
-0.9146 1.6353 6.9245 Nb
1.8735 -0.0256 6.9245 Nb
0.0000 0.0000 4.6043 In
```

Computed properties:
The value obtained for the formation energy from the elements is -3.27 kJ/mol of atoms. As for the crystal system: trigonal. The final energy comes out at -75.280 eV per cell. For the relative energy among the computed polymorphs, the calculation gives 0.00 kcal/mol of atoms.


Entry from Alexandria: crystalline TaNb3In at its relaxed geometry (PBE).

The structure in POSCAR format:
```
TaNb3In
1.0
5.6855 -4.2755 0.0000
5.6855 4.2755 0.0000
-4.9205 0.0000 7.9545
Ta Nb In
4 12 4
Cartesian
0.7025 2.6943 5.5281 Ta
3.2877 2.6943 6.4037 Ta
3.1628 -2.6943 1.5509 Ta
5.7479 -2.6943 2.4264 Ta
-1.0125 0.0798 4.6038 Nb
-1.0863 1.2774 7.3522 Nb
1.4477 -0.0798 0.6265 Nb
2.4276 1.4654 3.5318 Nb
6.4831 1.4654 0.4455 Nb
1.3739 -1.2774 3.3749 Nb
5.0765 1.2774 4.5796 Nb
-0.0327 -1.4654 7.5090 Nb
4.0229 -1.4654 4.4228 Nb
5.0027 0.0798 7.3280 Nb
7.5368 -1.2774 0.6023 Nb
7.4630 -0.0798 3.3508 Nb
4.4553 3.0947 1.9886 In
1.9951 0.0359 5.9659 In
4.4553 -0.0359 1.9886 In
1.9951 -3.0947 5.9659 In
```

Computed properties:
The value obtained for the formation energy from the elements is 17.78 kJ/mol of atoms. As for the crystal system: monoclinic. The final energy comes out at -175.516 eV per cell. For the relative energy among the computed polymorphs, the calculation gives 3.79 kcal/mol of atoms.


Entry from Alexandria: crystalline TaNbIn3 at its relaxed geometry (PBE).

The structure in POSCAR format:
```
TaNbIn3
1.0
5.2866 0.0000 0.0000
0.0000 5.2866 0.0000
0.0000 0.0000 5.2866
Ta Nb In
1 1 3
Cartesian
0.0000 0.0000 0.0000 Ta
2.6433 2.6433 2.6433 Nb
0.0000 0.0000 2.6433 In
0.0000 2.6433 0.0000 In
2.6433 0.0000 0.0000 In
```

Computed properties:
The value obtained for the formation energy from the elements is 123.22 kJ/mol of atoms. As for the crystal system: cubic. The final energy comes out at -23.752 eV per cell. For the relative energy among the computed polymorphs, the calculation gives 0.00 kcal/mol of atoms.


Entry from Alexandria: crystalline TaNbInTc2 at its relaxed geometry (PBE).

The structure in POSCAR format:
```
TaNbInTc2
1.0
4.7447 0.0000 0.0000
0.0000 4.7447 0.0000
0.0000 0.0000 4.8805
Ta Nb In Tc
1 1 1 2
Cartesian
0.0000 0.0000 0.0000 Ta
2.3724 2.3724 0.0000 Nb
2.3724 2.3724 2.4402 In
0.0000 2.3724 2.4402 Tc
2.3724 0.0000 2.4402 Tc
```

Computed properties:
The value obtained for the formation energy from the elements is 211.10 kJ/mol of atoms. As for the crystal system: tetragonal. The final energy comes out at -34.454 eV per cell.


Entry from Alexandria: crystalline TaNb2InTe at its relaxed geometry (PBE).

The structure in POSCAR format:
```
TaNb2InTe
1.0
5.0681 0.0000 0.0000
0.0000 5.0681 0.0000
0.0000 0.0000 5.2092
Ta Nb In Te
1 2 1 1
Cartesian
0.0000 0.0000 0.0000 Ta
0.0000 2.5340 2.6046 Nb
2.5340 0.0000 2.6046 Nb
2.5340 2.5340 2.6046 In
2.5340 2.5340 0.0000 Te
```

Computed properties:
For the raw formation energy, the calculation gives 2.1442 eV/atom. As for the crystal system: tetragonal. The final energy comes out at -27.151 eV per cell.


Entry from Alexandria: crystalline TaTiNbIn at its relaxed geometry (PBE).

The structure in POSCAR format:
```
TaTiNbIn
1.0
4.8283 0.0000 0.0000
0.0000 1.4656 5.4115
0.0000 -1.4656 5.4115
Ta Ti Nb In
1 1 1 1
Cartesian
0.0000 0.0000 0.0000 Ta
0.0000 0.0000 8.1615 Ti
2.4141 0.0000 4.5384 Nb
2.4141 0.0000 1.7314 In
```

Computed properties:
The value obtained for the formation energy from the elements is 14.80 kJ/mol of atoms. As for the crystal system: orthorhombic. The final energy comes out at -31.942 eV per cell. For the relative energy among the computed polymorphs, the calculation gives 2.87 kcal/mol of atoms.